Compound: ScCrAu
Source: the Alexandria database
Functional: PBE
Structure: relaxed

Output
- DFT total energy: -19.6 eV for the cell shown
- Excess energy over the best structure of this formula in the dataset: 0.000 eV/atom
- Spin magnetization: 4.49 Bohr magnetons per cell
- E_form: -0.11 eV per atom
- Space-group type: I4mm (107)

a = 5.141 Å, b = 5.141 Å, c = 5.141 Å
α = 139.73°, β = 139.73°, γ = 58.26°
Each line ends with the local moment (μB).
Sites, in units of the cell vectors:
Au 0.000 0.000 0.000  0.08
Cr 0.337 0.337 0.000  3.63
Sc 0.663 0.663 0.000  0.22